(1)
The following is a PBE calculation of Sr3PbS4 after structural relaxation, from Alexandria via LeMat-Bulk.

Lattice parameters (Å, degrees): 7.4150 7.4150 4.2764 90.00 90.00 109.47
Fractional coordinates of all 8 atoms:
Sr1 0.0000 0.0000 0.0000
Sr2 0.0000 0.5000 0.5000
Sr3 0.5000 0.0000 0.5000
Pb1 0.5000 0.5000 0.0000
S1 0.2477 0.2477 0.5000
S2 0.2491 0.7509 0.0000
S3 0.7509 0.2491 0.0000
S4 0.7523 0.7523 0.5000

Output
* E_form (uncorrected): -1747 meV/atom
* excess energy over the best structure of this formula in the dataset: 0.4 kJ/mol of atoms
* DOS at the Fermi energy: 0.00 states/eV/f.u.
* crystal system: orthorhombic



(2)
The following is a PBE calculation of Sr3PbS after structural relaxation, from Alexandria via LeMat-Bulk.

Lattice parameters (Å, degrees): 5.6983 5.6983 5.6983 90.00 90.00 90.00
Fractional coordinates of all 5 atoms:
Sr1 0.0000 0.0000 0.5000
Sr2 0.0000 0.5000 0.0000
Sr3 0.5000 0.0000 0.0000
Pb1 0.5000 0.5000 0.5000
S1 0.0000 0.0000 0.0000

Output
* E_form (uncorrected): -1057 meV/atom
* excess energy over the best structure of this formula in the dataset: 0.0 kJ/mol of atoms
* DOS at the Fermi energy: 0.15 states/eV/f.u.
* crystal system: cubic



| no. | total magnetization (μB per cell) |
| --- | --- |
| 1 | 0.00 |
| 2 | 0.00 |